Entry from Alexandria: LaCrCu2 after structural relaxation (PBE-GGA).

a = 3.2768 Å, b = 3.2969 Å, c = 7.5695 Å
α = 64.22°, β = 90.00°, γ = 90.00°
Last column: nearest neighbours and their distance in Å.
Atoms (fractional coordinates):
La 0.5000 0.2500 0.2500  8 Cu 3.15, 4 La 3.28-3.30, 2 Cr 3.41
Cu 0.0000 0.0618 0.9374  1 Cu 2.56, 4 Cr 2.65
Cu 0.0000 0.4382 0.5626  1 Cu 2.56, 4 Cr 2.65
Cr 0.5000 0.7500 0.7500  8 Cu 2.65

Results
- Calculated volume: 74 Å³ per cell
- Energy above the most stable polymorph in this dataset: 0.52 eV per formula unit
- Formation enthalpy at 0 K: 0.2296 eV per atom
- Space-group type: Pmmm (47)
- DOS at the Fermi energy: 4.279 states/eV/f.u.